Density functional theory data (PBE with a Hubbard U) for crystalline RbMoF3 at its relaxed geometry.

It has space group Pm-3m (No. 221), with a = 4.927 Å, b = 4.927 Å, c = 4.927 Å, α = 90.00°, β = 90.00° and γ = 90.00°. The inequivalent atoms are Rb at (0.000, 0.000, 0.000), Mo at (0.500, 0.500, 0.500) and F at (0.000, 0.000, 0.500).

Its raw total energy is -3.626 eV per atom. The energy above the lowest structure with this stoichiometry comes out at 1.405 eV per atom. The calculation puts the calculated density at 3311 kg/m3. The total magnetization comes out at 4.000 Bohr magnetons per cell.